A plane-wave DFT calculation with PBE-GGA was carried out for a relaxed KRbAs2Br crystal.

Cell lengths 6.5944, 6.5944, 6.4434 Å; angles 90.00, 90.00, 90.00 degrees
Closest atoms and distances in Å follow each position.
Space group P4/mmm (No. 123)
One atom of each set of equivalent atoms:
K (0.0000, 0.0000, 0.0000)  8 As 4.61, 4 Br 4.66
Rb (0.5000, 0.5000, 0.5000)  2 Br 3.22, 4 As 3.30
As (0.0000, 0.5000, 0.5000)  2 Rb 3.30
Br (0.5000, 0.5000, 0.0000)  2 Rb 3.22

**ΔE_f (raw)**: 0.290 eV/atom
**D(E_F)**: 2.7 states/eV/cell
**V**: 56.04 A^3/atom
**Energy relative to the lowest polymorph listed for this composition**: 90 meV/atom

A plane-wave DFT calculation with PBE-GGA was carried out for a relaxed MgCr crystal.

Cell lengths 8.0110, 8.0110, 8.0110 Å; angles 90.00, 90.00, 90.00 degrees
Closest atoms and distances in Å follow each position.
Space group Pm-3n (No. 223)
One atom of each set of equivalent atoms:
Mg (0.0000, 0.2500, 0.5000)  4 Cr 2.83
Cr (0.0000, 0.5000, 0.2500)  4 Mg 2.83

**ΔH_f (0 K)**: 3.3 eV/f.u.
**D(E_F)**: 6.9 states/eV/cell
**V**: 42.84 A^3/atom
**Energy relative to the lowest polymorph listed for this composition**: 1420 meV/atom

A plane-wave DFT calculation with PBE-GGA was carried out for a relaxed ErSi2W crystal.

Cell lengths 3.6459, 3.6459, 19.7182 Å; angles 90.00, 90.00, 120.00 degrees
Closest atoms and distances in Å follow each position.
Space group R-3m (No. 166, hexagonal axes)
One atom of each set of equivalent atoms:
Er (0.0000, 0.0000, 0.0000)  6 Si 2.82
Si (0.0000, 0.0000, 0.2384)  3 W 2.54, 3 Er 2.82
W (0.0000, 0.0000, 0.5000)  6 Si 2.54

**ΔE_f (raw)**: -0.152 eV/atom
**D(E_F)**: 8.2 states/eV/cell
**V**: 18.92 A^3/atom

A plane-wave DFT calculation with PBE-GGA was carried out for a relaxed YCrMo4 crystal.

Cell lengths 7.5870, 7.5870, 7.5870 Å; angles 90.00, 90.00, 90.00 degrees
Closest atoms and distances in Å follow each position.
Space group F-43m (No. 216)
One atom of each set of equivalent atoms:
Y (0.0000, 0.0000, 0.0000)  12 Mo 3.14, 4 Cr 3.29
Cr (0.2500, 0.2500, 0.7500)  12 Mo 3.15, 4 Y 3.29
Mo (0.1252, 0.1252, 0.3748)  6 Mo 2.68-2.69

**ΔH_f (0 K)**: 2.1 eV/f.u.
**D(E_F)**: 24.6 states/eV/cell
**V**: 18.20 A^3/atom

A plane-wave DFT calculation with PBE-GGA was carried out for a relaxed GdDyCdSi crystal.

Cell lengths 7.2509, 7.2509, 7.2509 Å; angles 90.00, 90.00, 90.00 degrees
Closest atoms and distances in Å follow each position.
Space group F-43m (No. 216)
One atom of each set of equivalent atoms:
Gd (0.0000, 0.0000, 0.0000)  4 Cd 3.14, 4 Si 3.14
Dy (0.0000, 0.0000, 0.5000)  4 Cd 3.14, 4 Si 3.14
Cd (0.2500, 0.2500, 0.7500)  4 Gd 3.14, 4 Dy 3.14
Si (0.2500, 0.2500, 0.2500)  4 Gd 3.14, 4 Dy 3.14

**ΔE_f (raw)**: -0.392 eV/atom
**D(E_F)**: 13.1 states/eV/cell
**V**: 23.83 A^3/atom

A plane-wave DFT calculation with PBE-GGA was carried out for a relaxed AuI2O crystal.

Cell lengths 5.6805, 5.6805, 13.6374 Å; angles 90.00, 90.00, 90.00 degrees
Closest atoms and distances in Å follow each position.
Space group I-42d (No. 122)
One atom of each set of equivalent atoms:
Au (0.0000, 0.0000, 0.0000)  4 I 2.87
I (0.1794, 0.2500, 0.6250)  2 O 2.44
O (0.0000, 0.0000, 0.5000)  4 I 2.44

**ΔE_f (raw)**: 0.408 eV/atom
**D(E_F)**: 2.3 states/eV/cell
**V**: 27.50 A^3/atom
**Energy relative to the lowest polymorph listed for this composition**: 0 meV/atom

A plane-wave DFT calculation with PBE-GGA was carried out for a relaxed Ca2Ag2Br crystal.

Cell lengths 8.2040, 8.2040, 4.1892 Å; angles 90.00, 90.00, 90.00 degrees
Closest atoms and distances in Å follow each position.
Space group P4/mbm (No. 127)
One atom of each set of equivalent atoms:
Ca (0.1771, 0.3229, 0.0000)  2 Br 3.02, 6 Ag 3.16-3.24
Ag (0.1190, 0.6190, 0.5000)  1 Ag 2.76
Br (0.0000, 0.0000, 0.0000)  4 Ca 3.02

**ΔE_f (raw)**: -0.605 eV/atom
**D(E_F)**: 4.1 states/eV/cell
**V**: 28.20 A^3/atom

A plane-wave DFT calculation with PBE-GGA was carried out for a relaxed ZrAlIn3 crystal.

Cell lengths 5.6146, 5.6146, 5.6146 Å; angles 90.00, 90.00, 90.00 degrees
Closest atoms and distances in Å follow each position.
Space group Pm-3m (No. 221)
One atom of each set of equivalent atoms:
Zr (0.0000, 0.0000, 0.0000)  6 In 2.81
Al (0.5000, 0.5000, 0.5000)  12 In 3.97
In (0.0000, 0.0000, 0.5000)  2 Zr 2.81

**ΔH_f (0 K)**: 3.6 eV/f.u.
**D(E_F)**: 5.2 states/eV/cell
**V**: 35.40 A^3/atom
**Energy relative to the lowest polymorph listed for this composition**: 57 meV/atom

A plane-wave DFT calculation with PBE-GGA was carried out for a relaxed Tm2Al2Ga crystal.

Cell lengths 3.3679, 4.3908, 14.1421 Å; angles 90.00, 90.00, 90.00 degrees
Closest atoms and distances in Å follow each position.
Space group Amm2 (No. 38)
One atom of each set of equivalent atoms:
Tm (0.0000, 0.0000, 0.0000)  4 Ga 3.00, 6 Al 3.10-3.23, 1 Tm 3.29
Tm (0.0000, 0.0000, 0.2325)  8 Al 3.01-3.21, 2 Ga 3.12, 3 Tm 3.29-3.37
Al (0.5000, 0.0000, 0.6175)  1 Al 2.81, 1 Ga 2.82
Al (0.5000, 0.0000, 0.8162)  2 Ga 2.62, 1 Al 2.81
Ga (0.5000, 0.0000, 0.4179)  3 Al 2.62-2.82

**ΔH_f (0 K)**: -2.4 eV/f.u.
**D(E_F)**: 6.6 states/eV/cell
**V**: 20.91 A^3/atom
**Energy relative to the lowest polymorph listed for this composition**: 2 meV/atom

A plane-wave DFT calculation with PBE-GGA was carried out for a relaxed Cs2ErPbF6 crystal.

Cell lengths 6.4885, 9.2739, 7.7351 Å; angles 90.00, 90.00, 90.00 degrees
Closest atoms and distances in Å follow each position.
Space group Pmmn (No. 59, origin choice 2)
One atom of each set of equivalent atoms:
Cs (0.2500, 0.0036, 0.2054)  9 F 3.17-3.34
Er (0.2500, 0.7500, 0.7652)  6 F 2.16-2.19
Pb (0.2500, 0.2500, 0.7097)  4 F 2.50-2.79
F (0.0061, 0.2500, 0.4128)  1 Er 2.16
F (0.0180, 0.7500, 0.9680)  1 Er 2.17
F (0.2500, 0.5143, 0.7755)  1 Er 2.19

**ΔE_f (raw)**: -2.979 eV/atom
**V**: 23.27 A^3/atom

A plane-wave DFT calculation with PBE-GGA was carried out for a relaxed Tm3GaRh crystal.

Cell lengths 4.4936, 6.6898, 8.1754 Å; angles 90.00, 90.00, 90.00 degrees
Closest atoms and distances in Å follow each position.
Space group Pmmn (No. 59, origin choice 2)
One atom of each set of equivalent atoms:
Tm (0.2500, 0.0022, 0.1654)  3 Rh 2.80-2.85, 2 Ga 3.08
Tm (0.2500, 0.2500, 0.5532)  1 Rh 2.75, 2 Ga 2.92
Ga (0.2500, 0.7500, 0.6752)  6 Tm 2.92-3.08
Rh (0.2500, 0.2500, 0.8900)  7 Tm 2.75-2.85

**ΔH_f (0 K)**: -2.9 eV/f.u.
**D(E_F)**: 6.2 states/eV/cell
**V**: 24.58 A^3/atom

A plane-wave DFT calculation with PBE-GGA was carried out for a relaxed SrSi2Ru crystal.

Cell lengths 4.2773, 4.2773, 8.0786 Å; angles 90.00, 90.00, 90.00 degrees
Closest atoms and distances in Å follow each position.
Space group I-4m2 (No. 119)
One atom of each set of equivalent atoms:
Sr (0.0000, 0.0000, 0.0000)  4 Ru 2.94, 8 Si 2.94-3.02
Si (0.0000, 0.0000, 0.5000)  4 Ru 2.94, 4 Si 2.94, 4 Sr 3.02
Si (0.0000, 0.5000, 0.2500)  4 Sr 2.94, 4 Si 2.94, 4 Ru 3.02
Ru (0.0000, 0.5000, 0.7500)  4 Sr 2.94, 8 Si 2.94-3.02

**ΔE_f (raw)**: 0.485 eV/atom
**D(E_F)**: 6.8 states/eV/cell
**V**: 18.48 A^3/atom

A plane-wave DFT calculation with PBE-GGA was carried out for a relaxed Sr2GaBr6 crystal.

Cell lengths 6.9719, 6.9719, 13.5526 Å; angles 90.00, 90.00, 90.00 degrees
Closest atoms and distances in Å follow each position.
Space group P4_2/mnm (No. 136)
One atom of each set of equivalent atoms:
Sr (0.0000, 0.0000, 0.1667)  6 Br 3.07-3.08
Ga (0.0000, 0.0000, 0.5000)  6 Br 2.79-2.84
Br (0.1892, 0.1892, 0.3464)  1 Ga 2.79, 2 Sr 3.07
Br (0.2118, 0.2118, 0.0000)  1 Ga 2.84, 2 Sr 3.08

**ΔE_f (raw)**: -1.540 eV/atom
**D(E_F)**: 11.0 states/eV/cell
**V**: 36.60 A^3/atom

A plane-wave DFT calculation with PBE-GGA was carried out for a relaxed K2In5Hg12 crystal.

Cell lengths 10.5365, 10.5365, 16.9018 Å; angles 90.00, 90.00, 120.00 degrees
Closest atoms and distances in Å follow each position.
Space group R-3m (No. 166, hexagonal axes)
One atom of each set of equivalent atoms:
K (0.0000, 0.0000, 0.1687)  12 Hg 3.68-3.94, 4 In 3.94-4.12
In (0.0000, 0.0000, 0.4015)  4 In 3.25-3.33, 9 Hg 3.54-3.64
In (0.0000, 0.5000, 0.0000)  8 Hg 3.18-3.24, 2 In 3.25
Hg (0.0000, 0.2963, 0.5000)  4 Hg 3.12-3.14, 2 In 3.24
Hg (0.0201, 0.5101, 0.6355)  4 Hg 3.05-3.14, 2 In 3.18

**ΔH_f (0 K)**: -1.5 eV/f.u.
**D(E_F)**: 20.1 states/eV/cell
**V**: 28.51 A^3/atom

A plane-wave DFT calculation with PBE-GGA was carried out for a relaxed La6SnRu2 crystal.

Cell lengths 16.6818, 9.8391, 6.4965 Å; angles 90.00, 95.60, 90.00 degrees
Closest atoms and distances in Å follow each position.
Space group C2/c (No. 15)
One atom of each set of equivalent atoms:
La (0.1001, 0.0920, 0.2363)  2 Ru 2.96-3.13
La (0.1011, 0.4616, 0.0931)  1 Ru 2.83
La (0.2037, 0.2290, 0.7417)  2 Ru 2.72-3.02
Sn (0.0000, 0.2222, 0.7500)  10 La 3.40-3.73
Ru (0.2450, 0.0011, 0.0454)  4 La 2.72-3.02

**ΔH_f (0 K)**: -3.0 eV/f.u.
**D(E_F)**: 31.5 states/eV/cell
**V**: 29.48 A^3/atom
**Energy relative to the lowest polymorph listed for this composition**: 24 meV/atom

A plane-wave DFT calculation with PBE-GGA was carried out for a relaxed ZnRuCl2 crystal.

Cell lengths 6.6656, 6.6656, 10.2698 Å; angles 90.00, 90.00, 90.00 degrees
Closest atoms and distances in Å follow each position.
Space group I-42d (No. 122)
One atom of each set of equivalent atoms:
Zn (0.0000, 0.0000, 0.0000)  4 Cl 3.24
Ru (0.0000, 0.0000, 0.5000)  4 Cl 2.27
Cl (0.1299, 0.2500, 0.6250)  2 Ru 2.27

**ΔE_f (raw)**: 0.327 eV/atom
**D(E_F)**: 7.9 states/eV/cell
**V**: 28.52 A^3/atom
**Energy relative to the lowest polymorph listed for this composition**: 600 meV/atom

A plane-wave DFT calculation with PBE-GGA was carried out for a relaxed HfU2Tl2Te6 crystal.

Cell lengths 7.3582, 12.7330, 8.8139 Å; angles 90.00, 107.03, 90.00 degrees
Closest atoms and distances in Å follow each position.
Space group C2/m (No. 12)
One atom of each set of equivalent atoms:
Hf (0.0000, 0.0000, 0.0000)  6 Te 2.93-2.94
U (0.0000, 0.3316, 0.0000)  6 Te 3.08-3.09
Tl (0.0000, 0.1713, 0.5000)  6 Te 3.43-3.48
Te (0.2350, 0.1568, 0.2134)  1 Hf 2.93, 2 U 3.08-3.09
Te (0.2443, 0.0000, 0.7885)  1 Hf 2.94, 2 U 3.09

**ΔE_f (raw)**: -0.593 eV/atom
**D(E_F)**: 23.7 states/eV/cell
**V**: 35.89 A^3/atom

A plane-wave DFT calculation with PBE-GGA was carried out for a relaxed SiNiHg crystal.

Cell lengths 3.9227, 3.9227, 3.7819 Å; angles 90.00, 90.00, 120.00 degrees
Closest atoms and distances in Å follow each position.
Space group P-6m2 (No. 187)
One atom of each set of equivalent atoms:
Si (0.0000, 0.0000, 0.0000)  3 Ni 2.26
Ni (0.3333, 0.6667, 0.0000)  3 Si 2.26
Hg (0.6667, 0.3333, 0.5000)  6 Si 2.95, 6 Ni 2.95

**ΔE_f (raw)**: 0.178 eV/atom
**D(E_F)**: 1.8 states/eV/cell
**V**: 16.80 A^3/atom
**Energy relative to the lowest polymorph listed for this composition**: 59 meV/atom

A plane-wave DFT calculation with PBE-GGA was carried out for a relaxed K3Ga4Au2 crystal.

Cell lengths 12.7506, 4.5484, 9.3800 Å; angles 90.00, 106.70, 90.00 degrees
Closest atoms and distances in Å follow each position.
Space group C2/m (No. 12)
One atom of each set of equivalent atoms:
K (0.0000, 0.0000, 0.0000)  8 Ga 3.54-3.90, 4 Au 3.93
K (0.0875, 0.5000, 0.6860)  8 Ga 3.46-3.79, 1 K 3.56, 3 Au 3.59-3.60
Ga (0.1604, 0.0000, 0.4224)  3 Au 2.60-2.68
Ga (0.2373, 0.5000, 0.0577)  1 Au 2.57, 2 Ga 2.58
Au (0.1927, 0.5000, 0.3076)  4 Ga 2.57-2.68

**ΔH_f (0 K)**: -1.9 eV/f.u.
**D(E_F)**: 9.9 states/eV/cell
**V**: 28.95 A^3/atom
**Energy relative to the lowest polymorph listed for this composition**: 12 meV/atom

A plane-wave DFT calculation with PBE-GGA was carried out for a relaxed Na3LiSn crystal.

Cell lengths 5.3665, 5.3665, 5.3665 Å; angles 90.00, 90.00, 90.00 degrees
Closest atoms and distances in Å follow each position.
Space group Pm-3m (No. 221)
One atom of each set of equivalent atoms:
Na (0.0000, 0.0000, 0.5000)  2 Li 2.68
Li (0.0000, 0.0000, 0.0000)  6 Na 2.68
Sn (0.5000, 0.5000, 0.5000)  12 Na 3.79

**ΔH_f (0 K)**: 1.5 eV/f.u.
**D(E_F)**: 3.3 states/eV/cell
**V**: 30.91 A^3/atom
**Energy relative to the lowest polymorph listed for this composition**: 459 meV/atom

A plane-wave DFT calculation with PBE-GGA was carried out for a relaxed Cu6SnPd12 crystal.

Cell lengths 11.9509, 11.9509, 6.7752 Å; angles 90.00, 90.00, 120.00 degrees
Closest atoms and distances in Å follow each position.
Space group R-3 (No. 148, hexagonal axes)
One atom of each set of equivalent atoms:
Cu (0.0338, 0.2801, 0.3301)  9 Pd 2.69-2.79, 3 Cu 2.75-2.77
Sn (0.0000, 0.0000, 0.0000)  12 Pd 2.79-2.80
Pd (0.0128, 0.1419, 0.6629)  7 Pd 2.68-2.85, 4 Cu 2.69-2.79, 1 Sn 2.80
Pd (0.0653, 0.5599, 0.6713)  6 Pd 2.68-2.85, 5 Cu 2.71-2.76, 1 Sn 2.79

**ΔH_f (0 K)**: -3.1 eV/f.u.
**D(E_F)**: 43.4 states/eV/cell
**V**: 14.70 A^3/atom
**Energy relative to the lowest polymorph listed for this composition**: 0 meV/atom

A plane-wave DFT calculation with PBE-GGA was carried out for a relaxed HfPF3 crystal.

Cell lengths 4.2226, 4.2226, 4.2226 Å; angles 90.00, 90.00, 90.00 degrees
Closest atoms and distances in Å follow each position.
Space group Pm-3m (No. 221)
One atom of each set of equivalent atoms:
Hf (0.0000, 0.0000, 0.0000)  6 F 2.11
P (0.5000, 0.5000, 0.5000)  12 F 2.99
F (0.0000, 0.0000, 0.5000)  2 Hf 2.11

**ΔE_f (raw)**: -1.921 eV/atom
**D(E_F)**: 2.3 states/eV/cell
**V**: 15.06 A^3/atom
**Energy relative to the lowest polymorph listed for this composition**: 0 meV/atom

A plane-wave DFT calculation with PBE-GGA was carried out for a relaxed Tb2BeInPd6 crystal.

Cell lengths 10.0956, 5.8382, 7.7974 Å; angles 90.00, 115.32, 90.00 degrees
Closest atoms and distances in Å follow each position.
Space group C2/m (No. 12)
One atom of each set of equivalent atoms:
Tb (0.2242, 0.0000, 0.1723)  9 Pd 2.92-3.02
Be (0.0000, 0.5000, 0.0000)  6 Pd 2.19
In (0.0000, 0.0000, 0.5000)  6 Pd 2.73-2.74
Pd (0.0236, 0.2412, 0.8120)  1 Be 2.19
Pd (0.2347, 0.5000, 0.1890)  1 Be 2.19

**ΔH_f (0 K)**: -6.2 eV/f.u.
**D(E_F)**: 5.4 states/eV/cell
**V**: 20.77 A^3/atom